Density functional theory data (GGA-PBE) for crystalline TlSb2Pb3 at its relaxed geometry.

* calculated volume: 394.1 Å³ per cell
* calculated density: 9.0 g cm⁻³
* energy relative to the lowest polymorph listed for this composition: 0.09 eV/f.u.
* M_tot: 0.0 μB/f.u.
* raw total energy: -3.595 eV per atom
* formation energy without anion corrections: 0.03 eV per atom
* symmetry: P-1, No. 2

Lattice parameters (Å, degrees): 4.4978 9.0780 10.6759 69.63 90.00 75.66
Closest atoms and distances in Å follow each position.
Fractional positions:
Tl: 0.1091 0.2783 0.0518  7 Sb 3.38-3.54, 1 Tl 3.65
Tl: 0.8909 0.7217 0.9482  7 Sb 3.38-3.54, 1 Tl 3.65
Sb: 0.2381 0.0287 0.8641  3 Pb 3.10-3.12, 3 Tl 3.38-3.46
Sb: 0.4917 0.5142 0.8108  4 Pb 3.10-3.26
Sb: 0.5083 0.4858 0.1892  4 Pb 3.10-3.26
Sb: 0.7619 0.9713 0.1359  3 Pb 3.10-3.12, 3 Tl 3.38-3.46
Pb: 0.0617 0.3777 0.4036  2 Sb 3.10-3.11, 3 Pb 3.43-3.47
Pb: 0.2999 0.9013 0.6270  2 Sb 3.12-3.26, 4 Pb 3.43-3.47
Pb: 0.3684 0.7591 0.3143  3 Sb 3.10-3.14
Pb: 0.6316 0.2409 0.6857  3 Sb 3.10-3.14
Pb: 0.7001 0.0987 0.3730  2 Sb 3.12-3.26, 4 Pb 3.43-3.47
Pb: 0.9383 0.6223 0.5964  2 Sb 3.10-3.11, 3 Pb 3.43-3.47